# 1
This record from the Alexandria database describes crystalline Cd2Au3O8 at its relaxed geometry. The functional is PBE.

abc: 5.7955 6.3945 6.2183
angles: 120.94 108.61 90.00
Closest atoms and distances in Å follow each position.
Sites, in units of the cell vectors:
Cd 0.6424 0.6975 0.3951  4 O 2.26-2.37
Cd 0.3576 0.3025 0.6049  4 O 2.26-2.37
Au 0.5000 0.0000 0.0000  4 O 2.06
Au 0.0000 0.2491 0.0000  6 O 2.07-2.09
Au 0.0000 0.7509 0.0000  6 O 2.07-2.09
O 0.0248 0.3806 0.7613  2 Au 2.09
O 0.9752 0.6194 0.2387  2 Au 2.09
O 0.0082 0.8751 0.7502  2 Au 2.09, 1 Cd 2.26
O 0.9918 0.1249 0.2498  2 Au 2.09, 1 Cd 2.26
O 0.3808 0.8711 0.1966  2 Au 2.06-2.07, 1 Cd 2.29
O 0.3808 0.3255 0.1966  2 Au 2.06-2.07, 1 Cd 2.29
O 0.6192 0.6745 0.8034  2 Au 2.06-2.07, 1 Cd 2.29
O 0.6192 0.1289 0.8034  2 Au 2.06-2.07, 1 Cd 2.29

- Formation energy from raw total energies: -0.22 eV per atom
- Calculated volume: 14.112 Å³/atom
- Total magnetization: 0.00 μB per formula unit
- Symmetry: No. 12

# 2
This record from the Alexandria database describes crystalline CdAu2O3 at its relaxed geometry. The functional is PBE.

abc: 6.6428 6.4122 6.5663
angles: 73.16 122.35 115.61
Closest atoms and distances in Å follow each position.
Sites, in units of the cell vectors:
Cd 0.2143 0.3817 0.5687  4 O 2.25-2.38
Cd 0.7857 0.6183 0.4313  4 O 2.25-2.38
Au 0.0623 0.1657 0.1709  2 O 2.01-2.08
Au 0.5498 0.1553 0.1810  4 O 1.98-2.11
Au 0.9377 0.8343 0.8291  2 O 2.01-2.08
Au 0.4502 0.8447 0.8190  4 O 1.98-2.11
O 0.7209 0.9543 0.1699  3 Au 2.08-2.11
O 0.8145 0.2624 0.5078  1 Au 1.98
O 0.3873 0.3687 0.1615  2 Au 2.01-2.02
O 0.6127 0.6313 0.8385  2 Au 2.01-2.02
O 0.1855 0.7376 0.4922  1 Au 1.98
O 0.2791 0.0457 0.8301  3 Au 2.08-2.11

- Formation energy from raw total energies: -0.28 eV per atom
- Calculated volume: 17.704 Å³/atom
- Total magnetization: 0.00 μB per formula unit
- Symmetry: No. 2

# 3
This record from the Alexandria database describes crystalline Cd2AuO4 at its relaxed geometry. The functional is PBE.

abc: 3.4241 7.9472 6.2944
angles: 126.62 74.12 130.37
Closest atoms and distances in Å follow each position.
Sites, in units of the cell vectors:
Cd 0.6475 0.3234 0.6766  6 O 2.28-2.42
Cd 0.3525 0.6766 0.3234  6 O 2.28-2.42
Au 0.0000 0.0000 0.0000  4 O 2.00
O 0.0310 0.8948 0.6208  1 Au 2.00
O 0.9690 0.1052 0.3792  1 Au 2.00
O 0.5151 0.3792 0.1052  1 Au 2.00
O 0.4849 0.6208 0.8948  1 Au 2.00

- Formation energy from raw total energies: -0.57 eV per atom
- Calculated volume: 14.705 Å³/atom
- Total magnetization: 0.01 μB per formula unit
- Symmetry: No. 12

# 4
This record from the Alexandria database describes crystalline Cd2AuO2 at its relaxed geometry. The functional is PBE.

abc: 4.1993 4.1993 5.6106
angles: 68.02 68.02 90.00
Closest atoms and distances in Å follow each position.
Sites, in units of the cell vectors:
Au 0.0000 0.0000 0.0000  8 O 3.17, 10 Cd 3.21-3.35
O 0.7500 0.2500 0.5000  4 Cd 2.26
O 0.2500 0.7500 0.5000  4 Cd 2.26
Cd 0.3374 0.3374 0.3252  4 O 2.26
Cd 0.6626 0.6626 0.6748  4 O 2.26

- Formation energy from raw total energies: -0.25 eV per atom
- Calculated volume: 16.789 Å³/atom
- Energy above the lowest structure with this stoichiometry: 0 meV per atom
- Total magnetization: 0.00 μB per formula unit
- Symmetry: No. 139

# 5
This record from the Alexandria database describes crystalline CdAu2O2 at its relaxed geometry. The functional is PBE.

abc: 5.9704 6.5442 6.5442
angles: 97.21 116.66 116.66
Closest atoms and distances in Å follow each position.
Sites, in units of the cell vectors:
Cd 0.2500 0.9258 0.0742  4 O 2.18-2.35
Cd 0.7500 0.0742 0.9258  4 O 2.18-2.35
Au 0.0000 0.5000 0.5000  2 O 2.09
Au 0.0000 0.0000 0.5000  2 O 2.07
Au 0.5000 0.5000 0.5000  2 O 2.09
Au 0.5000 0.5000 0.0000  2 O 2.07
O 0.2430 0.2846 0.1166  2 Au 2.07-2.09, 1 Cd 2.18
O 0.7570 0.7154 0.8834  2 Au 2.07-2.09, 1 Cd 2.18
O 0.2570 0.8834 0.7154  2 Au 2.07-2.09, 1 Cd 2.18
O 0.7430 0.1166 0.2846  2 Au 2.07-2.09, 1 Cd 2.18

- Formation energy from raw total energies: -0.31 eV per atom
- Calculated volume: 18.633 Å³/atom
- Total magnetization: 0.00 μB per formula unit
- Symmetry: No. 15

# 6
This record from the Alexandria database describes crystalline Cd8AuO6 at its relaxed geometry. The functional is PBE.

abc: 6.4062 6.4062 6.4062
angles: 95.40 95.40 95.40
Closest atoms and distances in Å follow each position.
Sites, in units of the cell vectors:
Cd 0.7129 0.7129 0.7129  3 O 2.29
Cd 0.2871 0.2871 0.2871  3 O 2.29
Cd 0.6225 0.8356 0.1824  3 O 2.22-2.25
Cd 0.8356 0.1824 0.6225  3 O 2.22-2.25
Cd 0.1824 0.6225 0.8356  3 O 2.22-2.25
Cd 0.3775 0.1644 0.8176  3 O 2.22-2.25
Cd 0.1644 0.8176 0.3775  3 O 2.22-2.25
Cd 0.8176 0.3775 0.1644  3 O 2.22-2.25
Au 0.0000 0.0000 0.0000  8 Cd 2.87-2.93
O 0.6684 0.3913 0.8391  4 Cd 2.22-2.29
O 0.3913 0.8391 0.6684  4 Cd 2.22-2.29
O 0.8391 0.6684 0.3913  4 Cd 2.22-2.29
O 0.3316 0.6087 0.1609  4 Cd 2.22-2.29
O 0.6087 0.1609 0.3316  4 Cd 2.22-2.29
O 0.1609 0.3316 0.6087  4 Cd 2.22-2.29

- Formation energy from raw total energies: -0.73 eV per atom
- Calculated volume: 17.278 Å³/atom
- Total magnetization: 0.00 μB per formula unit
- Symmetry: No. 148

# 7
This record from the Alexandria database describes crystalline CdAuO2 at its relaxed geometry. The functional is PBE.

abc: 6.4080 6.4080 7.2596
angles: 116.15 116.15 90.08
Closest atoms and distances in Å follow each position.
Sites, in units of the cell vectors:
Cd 0.8750 0.6250 0.2500  6 O 2.29-2.49
Cd 0.3750 0.6250 0.2500  6 O 2.29-2.49
Cd 0.3750 0.1250 0.7500  6 O 2.29-2.49
Cd 0.3750 0.6250 0.7500  6 O 2.29-2.49
Au 0.3750 0.1250 0.2500  4 O 2.19
Au 0.8750 0.1250 0.2500  4 O 2.19
Au 0.8750 0.6250 0.7500  4 O 2.19
Au 0.8750 0.1250 0.7500  4 O 2.19
O 0.1741 0.9579 0.3486  2 Au 2.19, 1 Cd 2.29
O 0.1745 0.3907 0.3486  2 Au 2.19, 1 Cd 2.29
O 0.1407 0.4245 0.8486  2 Au 2.19, 1 Cd 2.29
O 0.5759 0.2921 0.1514  2 Au 2.19, 1 Cd 2.29
O 0.7079 0.4241 0.8486  2 Au 2.19, 1 Cd 2.29
O 0.5755 0.8593 0.1514  2 Au 2.19, 1 Cd 2.29
O 0.6093 0.8255 0.6514  2 Au 2.19, 1 Cd 2.29
O 0.0421 0.8259 0.6514  2 Au 2.19, 1 Cd 2.29

- Formation energy from raw total energies: -0.38 eV per atom
- Calculated volume: 14.563 Å³/atom
- Total magnetization: 0.00 μB per formula unit
- Symmetry: No. 70

# 8
This record from the Alexandria database describes crystalline Cd2Au2O5 at its relaxed geometry. The functional is PBE.

abc: 5.8462 4.0405 11.5298
angles: 100.09 104.69 90.00
Closest atoms and distances in Å follow each position.
Sites, in units of the cell vectors:
Cd 0.5863 0.0921 0.2608  4 O 2.20-2.35
Cd 0.3255 0.9080 0.7392  4 O 2.20-2.35
Cd 0.0863 0.6688 0.2608  4 O 2.20-2.35
Cd 0.8255 0.3312 0.7392  4 O 2.20-2.35
Au 0.0056 0.0000 0.0000  4 O 2.05-2.07
Au 0.5056 0.5000 0.0000  4 O 2.05-2.07
Au 0.3300 0.3028 0.5000  4 O 2.05-2.08
Au 0.8300 0.6972 0.5000  4 O 2.05-2.08
O 0.2050 0.2122 0.9050  2 Au 2.05-2.07
O 0.3000 0.7878 0.0950  2 Au 2.05-2.07
O 0.7050 0.1928 0.9050  2 Au 2.05-2.07
O 0.8000 0.8072 0.0950  2 Au 2.05-2.07
O 0.2379 0.2018 0.3133  1 Au 2.05, 3 Cd 2.20-2.29
O 0.9245 0.7982 0.6867  1 Au 2.05, 3 Cd 2.20-2.29
O 0.7379 0.6116 0.3133  1 Au 2.05, 3 Cd 2.20-2.29
O 0.4245 0.3884 0.6867  1 Au 2.05, 3 Cd 2.20-2.29
O 0.7492 0.1951 0.5000  2 Au 2.07-2.08
O 0.2492 0.8049 0.5000  2 Au 2.07-2.08

- Formation energy from raw total energies: -0.48 eV per atom
- Calculated volume: 14.394 Å³/atom
- Energy above the lowest structure with this stoichiometry: 0 meV per atom
- Total magnetization: 0.00 μB per formula unit
- Symmetry: No. 46

# 9
This record from the Alexandria database describes crystalline Cd2Au2O5 at its relaxed geometry. The functional is PBE.

abc: 3.9814 6.6807 5.7778
angles: 115.63 90.00 107.34
Closest atoms and distances in Å follow each position.
Sites, in units of the cell vectors:
Cd 0.3760 0.7521 0.7044  5 O 2.26-2.50
Cd 0.6240 0.2479 0.2956  5 O 2.26-2.50
Au 0.1019 0.2039 0.7959  4 O 2.01-2.11
Au 0.8981 0.7961 0.2041  4 O 2.01-2.11
O 0.4194 0.8388 0.1724  2 Au 2.03
O 0.5806 0.1612 0.8276  2 Au 2.03
O 0.1790 0.3579 0.5602  1 Au 2.01
O 0.8210 0.6421 0.4398  1 Au 2.01
O 0.0000 0.0000 0.0000  2 Au 2.11

- Formation energy from raw total energies: -0.34 eV per atom
- Calculated volume: 14.530 Å³/atom
- Energy above the lowest structure with this stoichiometry: 133 meV per atom
- Total magnetization: 0.00 μB per formula unit
- Symmetry: No. 12

# 10
This record from the Alexandria database describes crystalline CdAuO2 at its relaxed geometry. The functional is PBE.

abc: 6.5876 6.5876 6.5876
angles: 29.48 29.48 29.48
Closest atoms and distances in Å follow each position.
Sites, in units of the cell vectors:
Au 0.0000 0.0000 0.0000  2 O 1.97
O 0.8955 0.8955 0.8955  1 Au 1.97
O 0.1045 0.1045 0.1045  1 Au 1.97
Cd 0.5000 0.5000 0.5000  6 O 2.26

- Formation energy from raw total energies: -0.46 eV per atom
- Calculated volume: 15.322 Å³/atom
- Total magnetization: 0.00 μB per formula unit
- Symmetry: No. 166